VASP calculation (PBE) on a relaxed structure of BaCd9Ga2.

Unit cell a=8.152 b=9.324 c=9.324 alpha=78.98 beta=64.08 gamma=64.08
Fractional positions:
Ba  0.500  0.000  0.000
Ba  0.250  0.500  0.500
Cd  0.428  0.422  0.823
Cd  0.150  0.177  0.422
Cd  0.150  0.422  0.177
Cd  0.673  0.578  0.177
Cd  0.077  0.323  0.922
Cd  0.001  0.922  0.677
Cd  0.322  0.677  0.078
Cd  0.600  0.323  0.078
Cd  0.077  0.922  0.323
Cd  0.600  0.078  0.323
Cd  0.749  0.578  0.823
Cd  0.322  0.078  0.677
Cd  0.428  0.823  0.422
Cd  0.001  0.677  0.922
Cd  0.749  0.823  0.578
Cd  0.000  0.000  0.000
Cd  0.750  0.500  0.500
Cd  0.673  0.177  0.578
Ga  0.875  0.250  0.250
Ga  0.875  0.750  0.250
Ga  0.875  0.250  0.750
Ga  0.375  0.750  0.750

Properties
Space-group type   No. 141
Energy of formation   -165 kJ/mol of formula units

---

VASP calculation (PBE) on a relaxed structure of BaCd9Ga3.

Unit cell a=5.879 b=7.736 c=7.784 alpha=82.11 beta=67.82 gamma=68.69
Fractional positions:
Cd  0.641  0.356  0.354
Cd  0.718  0.782  0.779
Cd  0.502  0.218  0.779
Cd  0.282  0.218  0.221
Cd  0.000  0.500  0.000
Cd  0.005  0.644  0.354
Cd  0.498  0.782  0.221
Cd  0.995  0.356  0.646
Cd  0.359  0.644  0.646
Ga  0.500  0.500  0.000
Ga  0.000  0.000  0.500
Ga  0.500  0.000  0.500
Ba  0.000  0.000  0.000

Properties
Space-group type   No. 12
Energy of formation   -138 kJ/mol of formula units

---

no.,spin magnetization (μB per formula unit)
1,0.0
2,0.0